No. 1
CdTc2Ir GGA-PBE optimized geometry; ΔH_f (0 K) = 0.4390 eV per atom; space-group type = F-43m, No. 216; crystal system = cubic
1.0
6.323 0.000 0.000
0.000 6.323 0.000
0.000 0.000 6.323
Cd Tc Ir
4 8 4
Direct
0.000 0.000 0.000 Cd
0.000 0.500 0.500 Cd
0.500 0.000 0.500 Cd
0.500 0.500 0.000 Cd
0.000 0.000 0.500 Tc
0.000 0.500 0.000 Tc
0.250 0.250 0.750 Tc
0.250 0.750 0.250 Tc
0.500 0.000 0.000 Tc
0.500 0.500 0.500 Tc
0.750 0.250 0.250 Tc
0.750 0.750 0.750 Tc
0.250 0.250 0.250 Ir
0.250 0.750 0.750 Ir
0.750 0.250 0.750 Ir
0.750 0.750 0.250 Ir

---

No. 2
CsSmW GGA-PBE optimized geometry; space-group type = F-43m, No. 216; E_tot = -3.952 eV/atom; crystal system = cubic
1.0
7.521 0.000 0.000
0.000 7.521 0.000
0.000 0.000 7.521
Cs Sm W
4 4 4
Direct
0.000 0.000 0.000 Cs
0.000 0.500 0.500 Cs
0.500 0.000 0.500 Cs
0.500 0.500 0.000 Cs
0.250 0.250 0.250 Sm
0.250 0.750 0.750 Sm
0.750 0.250 0.750 Sm
0.750 0.750 0.250 Sm
0.000 0.000 0.500 W
0.000 0.500 0.000 W
0.500 0.000 0.000 W
0.500 0.500 0.500 W

---

No. 3
NaGdTe3Au GGA-PBE optimized geometry; space-group type = Pnma, No. 62; E_tot = -3.961 eV/atom; crystal system = orthorhombic
1.0
11.249 0.000 0.000
0.000 4.199 0.000
0.000 0.000 15.314
Na Gd Te Au
4 4 12 4
Direct
0.229 0.250 0.023 Na
0.271 0.750 0.523 Na
0.729 0.250 0.477 Na
0.771 0.750 0.977 Na
0.018 0.750 0.747 Gd
0.482 0.250 0.247 Gd
0.518 0.750 0.753 Gd
0.982 0.250 0.253 Gd
0.042 0.750 0.110 Te
0.075 0.250 0.604 Te
0.233 0.250 0.342 Te
0.267 0.750 0.842 Te
0.425 0.750 0.104 Te
0.458 0.250 0.610 Te
0.542 0.750 0.390 Te
0.575 0.250 0.896 Te
0.733 0.250 0.158 Te
0.767 0.750 0.658 Te
0.925 0.750 0.396 Te
0.958 0.250 0.890 Te
0.237 0.750 0.221 Au
0.263 0.250 0.721 Au
0.737 0.750 0.279 Au
0.763 0.250 0.779 Au

---

No. 4
AgTePbF GGA-PBE optimized geometry; space-group type = P4/nmm, No. 129; E_tot = -3.308 eV/atom; crystal system = tetragonal
1.0
4.649 0.000 0.000
0.000 4.649 0.000
0.000 0.000 8.482
Ag Te Pb F
2 2 2 2
Direct
0.250 0.250 0.126 Ag
0.750 0.750 0.874 Ag
0.250 0.250 0.759 Te
0.750 0.750 0.241 Te
0.250 0.750 0.500 Pb
0.750 0.250 0.500 Pb
0.250 0.750 0.000 F
0.750 0.250 0.000 F

---

No. 5
Zr3Ni3Bi4 GGA-PBE optimized geometry; space-group type = I-43d, No. 220; E_tot = -6.196 eV/atom; crystal system = cubic
1.0
-4.686 4.686 4.686
4.686 -4.686 4.686
4.686 4.686 -4.686
Zr Ni Bi
6 6 8
Direct
0.125 0.750 0.875 Zr
0.250 0.625 0.375 Zr
0.375 0.250 0.625 Zr
0.625 0.375 0.250 Zr
0.750 0.875 0.125 Zr
0.875 0.125 0.750 Zr
0.125 0.875 0.250 Ni
0.250 0.125 0.875 Ni
0.375 0.625 0.750 Ni
0.625 0.750 0.375 Ni
0.750 0.375 0.625 Ni
0.875 0.250 0.125 Ni
0.000 0.330 0.500 Bi
0.000 0.830 0.500 Bi
0.170 0.170 0.170 Bi
0.330 0.500 0.000 Bi
0.500 0.000 0.330 Bi
0.500 0.000 0.830 Bi
0.670 0.670 0.670 Bi
0.830 0.500 0.000 Bi

---

No. 6
Cu10Pb GGA-PBE optimized geometry; space-group type = C2/m, No. 12; E_tot = -3.658 eV/atom; crystal system = monoclinic
1.0
4.009 -1.792 0.000
4.009 1.792 0.000
-0.138 0.000 27.764
Cu Pb
20 2
Direct
0.044 0.044 0.398 Cu
0.053 0.053 0.690 Cu
0.142 0.142 0.777 Cu
0.149 0.149 0.485 Cu
0.248 0.248 0.280 Cu
0.255 0.255 0.573 Cu
0.344 0.344 0.368 Cu
0.356 0.356 0.660 Cu
0.446 0.446 0.456 Cu
0.448 0.448 0.749 Cu
0.552 0.552 0.251 Cu
0.554 0.554 0.544 Cu
0.644 0.644 0.340 Cu
0.656 0.656 0.632 Cu
0.745 0.745 0.427 Cu
0.752 0.752 0.720 Cu
0.851 0.851 0.515 Cu
0.858 0.858 0.223 Cu
0.947 0.947 0.310 Cu
0.956 0.956 0.602 Cu
0.159 0.159 0.172 Pb
0.841 0.841 0.828 Pb